Record 1
First-principles (PBE-GGA) data for an optimized crystal structure of LaCeSe, as listed in Alexandria via LeMat-Bulk.

Cell: 4.374 8.259 9.189 Å, 87.04 90.00 90.00°
Each line ends with the local moment (μB).
Fractional positions:
Se1 0.250 0.615 0.700  0.00
Se2 0.750 0.885 0.300  0.00
Se3 0.750 0.385 0.300  0.00
Se4 0.250 0.115 0.700  0.00
Ce1 0.250 0.841 0.961  0.39
Ce2 0.750 0.659 0.039  0.39
Ce3 0.750 0.159 0.039  0.39
Ce4 0.250 0.341 0.961  0.39
La1 0.250 0.632 0.358  0.00
La2 0.750 0.868 0.642  0.00
La3 0.750 0.368 0.642  0.00
La4 0.250 0.132 0.358  0.00

Results
energy: -0.435 Ry/atom
raw formation energy: -1132 meV/atom
DOS(E_F): 1.50 states/eV/atom

Record 2
First-principles (PBE-GGA) data for an optimized crystal structure of YPd2Se2, as listed in Alexandria via LeMat-Bulk.

Cell: 3.894 3.894 7.073 Å, 74.02 74.02 90.00°
Fractional positions:
Y1 0.000 0.000 0.000
Se1 0.389 0.389 0.222
Se2 0.611 0.611 0.778
Pd1 0.750 0.250 0.500
Pd2 0.250 0.750 0.500

Results
energy: -0.402 Ry/atom
raw formation energy: -702 meV/atom
DOS(E_F): 0.75 states/eV/atom

Record 3
First-principles (PBE-GGA) data for an optimized crystal structure of RuRhF3, as listed in Alexandria via LeMat-Bulk.

Cell: 4.185 4.185 4.185 Å, 90.00 90.00 90.00°
Each line ends with the local moment (μB).
Fractional positions:
Ru1 0.000 0.000 0.000  1.53
Rh1 0.500 0.500 0.500  1.58
F1 0.000 0.500 0.000  0.05
F2 0.000 0.000 0.500  0.04
F3 0.500 0.000 0.000  0.04

Results
energy: -0.349 Ry/atom
raw formation energy: -294 meV/atom
polymorph energy (0 for the lowest one): 0 meV/atom
DOS(E_F): 1.16 states/eV/atom

Record 4
First-principles (PBE-GGA) data for an optimized crystal structure of V3SnH, as listed in Alexandria via LeMat-Bulk.

Cell: 7.289 7.289 5.181 Å, 90.00 90.00 143.54°
Fractional positions:
H1 0.459 0.541 0.250
H2 0.541 0.459 0.750
Sn1 0.170 0.830 0.250
Sn2 0.830 0.170 0.750
V1 0.610 0.904 0.250
V2 0.096 0.390 0.250
V3 0.904 0.610 0.750
V4 0.390 0.096 0.750
V5 0.000 0.000 0.000
V6 0.000 0.000 0.500

Results
energy: -0.467 Ry/atom
DOS(E_F): 1.03 states/eV/atom

Record 5
First-principles (PBE-GGA) data for an optimized crystal structure of LiCa2P3Ir4, as listed in Alexandria via LeMat-Bulk.

Cell: 4.046 4.046 9.898 Å, 90.00 90.00 90.00°
Fractional positions:
Li1 0.500 0.500 0.500
Ca1 0.500 0.000 0.259
Ca2 0.000 0.500 0.741
P1 0.000 0.000 0.500
P2 0.500 0.000 0.864
P3 0.000 0.500 0.136
Ir1 0.500 0.500 0.000
Ir2 0.000 0.000 0.000
Ir3 0.500 0.000 0.634
Ir4 0.000 0.500 0.366

Results
energy: -0.480 Ry/atom
ΔH_f (0 K): -7.74 eV per formula unit
DOS(E_F): 0.66 states/eV/atom

Record 6
First-principles (PBE-GGA) data for an optimized crystal structure of SrH3Pt, as listed in Alexandria via LeMat-Bulk.

Cell: 3.856 3.856 9.386 Å, 78.15 78.15 90.00°
Fractional positions:
Sr1 0.645 0.145 0.710
Sr2 0.855 0.355 0.290
Pt1 0.000 0.000 0.000
Pt2 0.250 0.750 0.500
H1 0.223 0.931 0.138
H2 0.069 0.777 0.862
H3 0.069 0.361 0.862
H4 0.639 0.931 0.138
H5 0.250 0.250 0.500
H6 0.750 0.750 0.500

Results
energy: -0.283 Ry/atom
DOS(E_F): 0.17 states/eV/atom

Record 7
First-principles (PBE-GGA) data for an optimized crystal structure of Fe3ReBr, as listed in Alexandria via LeMat-Bulk.

Cell: 4.206 4.206 4.206 Å, 90.00 90.00 90.00°
Fractional positions:
Re1 0.500 0.500 0.500
Fe1 0.000 0.500 0.000
Fe2 0.000 0.000 0.500
Fe3 0.500 0.000 0.000
Br1 0.000 0.000 0.000

Results
energy: -0.441 Ry/atom
raw formation energy: 1904 meV/atom
polymorph energy (0 for the lowest one): 382 meV/atom
DOS(E_F): 3.61 states/eV/atom

Record 8
First-principles (PBE-GGA) data for an optimized crystal structure of HfGe3Mo, as listed in Alexandria via LeMat-Bulk.

Cell: 4.816 4.816 4.816 Å, 90.00 90.00 90.00°
Fractional positions:
Mo1 0.000 0.000 0.000
Hf1 0.500 0.500 0.500
Ge1 0.000 0.500 0.000
Ge2 0.000 0.000 0.500
Ge3 0.500 0.000 0.000

Results
energy: -0.461 Ry/atom
ΔH_f (0 K): 3.29 eV per formula unit
polymorph energy (0 for the lowest one): 0 meV/atom
DOS(E_F): 0.88 states/eV/atom

Record 9
First-principles (PBE-GGA) data for an optimized crystal structure of CsGeI6, as listed in Alexandria via LeMat-Bulk.

Cell: 7.212 7.212 7.212 Å, 101.98 101.98 101.98°
Fractional positions:
Cs1 0.000 0.000 0.000
Ge1 0.500 0.500 0.500
I1 0.213 0.569 0.213
I2 0.213 0.213 0.569
I3 0.787 0.431 0.787
I4 0.431 0.787 0.787
I5 0.787 0.787 0.431
I6 0.569 0.213 0.213

Results
energy: -0.162 Ry/atom
raw formation energy: -360 meV/atom
DOS(E_F): 1.43 states/eV/atom

Record 10
First-principles (PBE-GGA) data for an optimized crystal structure of Te2AuCl, as listed in Alexandria via LeMat-Bulk.

Cell: 4.613 4.613 5.381 Å, 90.00 90.00 90.00°
Fractional positions:
Au1 0.000 0.000 0.625
Cl1 0.500 0.500 0.625
Te1 0.000 0.000 0.125
Te2 0.500 0.500 0.125

Results
energy: -0.205 Ry/atom
raw formation energy: 65 meV/atom
DOS(E_F): 0.62 states/eV/atom

Record 11
First-principles (PBE-GGA) data for an optimized crystal structure of AcSm2Er6, as listed in Alexandria via LeMat-Bulk.

Cell: 5.894 8.692 16.887 Å, 133.21 90.00 90.00°
Fractional positions:
Ac1 0.500 0.500 0.000
Ac2 0.000 0.000 0.500
Sm1 0.336 0.108 0.165
Sm2 0.836 0.392 0.335
Sm3 0.164 0.608 0.665
Sm4 0.664 0.892 0.835
Er1 0.263 0.105 0.740
Er2 0.208 0.153 0.375
Er3 0.160 0.119 0.964
Er4 0.660 0.381 0.536
Er5 0.708 0.347 0.125
Er6 0.763 0.395 0.760
Er7 0.737 0.895 0.260
Er8 0.792 0.847 0.625
Er9 0.840 0.881 0.036
Er10 0.340 0.619 0.464
Er11 0.292 0.653 0.875
Er12 0.237 0.605 0.240

Results
energy: -0.315 Ry/atom
ΔH_f (0 K): 2.35 eV per formula unit
polymorph energy (0 for the lowest one): 0 meV/atom
DOS(E_F): 1.51 states/eV/atom

Record 12
First-principles (PBE-GGA) data for an optimized crystal structure of Ni2HOsRu, as listed in Alexandria via LeMat-Bulk.

Cell: 3.739 3.739 3.756 Å, 90.00 90.00 90.00°
Fractional positions:
Ru1 0.000 0.000 0.500
Os1 0.500 0.500 0.500
H1 0.000 0.000 0.000
Ni1 0.000 0.500 0.000
Ni2 0.500 0.000 0.000

Results
energy: -0.505 Ry/atom
polymorph energy (0 for the lowest one): 0 meV/atom
DOS(E_F): 1.03 states/eV/atom